[1]
# CaLa2, single point on PBEsol structure, DFT meta-GGA SCAN
data_CaLa2
_symmetry_space_group_name_H-M 'I m m m'
_symmetry_Int_Tables_number 71
_symmetry_space_group_name_Hall '-I 2 2'
_cell_length_a 3.5926
_cell_length_b 5.1481
_cell_length_c 11.4656
_cell_angle_alpha 90.00
_cell_angle_beta 90.00
_cell_angle_gamma 90.00
loop_
_atom_site_label
_atom_site_fract_x
_atom_site_fract_y
_atom_site_fract_z
Ca1 0.0000 0.0000 0.0000
La1 0.0000 0.0000 0.3148
# relative energy among the computed polymorphs	43.8	meV per atom
# electronic total energy	-31.8882	eV/atom
# crystal system	orthorhombic
# ΔE_f	0.070	eV per atom

***

[2]
# Ca3La, single point on PBEsol structure, DFT meta-GGA SCAN
data_Ca3La
_symmetry_space_group_name_H-M 'R -3 m'
_symmetry_Int_Tables_number 166
_symmetry_space_group_name_Hall '-R 3 2"'
_cell_length_a 3.7552
_cell_length_b 3.7552
_cell_length_c 37.7194
_cell_angle_alpha 90.00
_cell_angle_beta 90.00
_cell_angle_gamma 120.00
loop_
_atom_site_label
_atom_site_fract_x
_atom_site_fract_y
_atom_site_fract_z
Ca1 0.0000 0.0000 0.0000
Ca2 0.0000 0.0000 0.2489
La1 0.0000 0.0000 0.5000
# relative energy among the computed polymorphs	22.0	meV per atom
# electronic total energy	-17.9722	eV/atom
# crystal system	trigonal
# ΔE_f	0.052	eV per atom

***

[3]
# CaLa2, single point on PBEsol structure, DFT meta-GGA SCAN
data_CaLa2
_symmetry_space_group_name_H-M 'P 63/m m c'
_symmetry_Int_Tables_number 194
_symmetry_space_group_name_Hall '-P 6c 2c'
_cell_length_a 5.9213
_cell_length_b 5.9213
_cell_length_c 7.1305
_cell_angle_alpha 90.00
_cell_angle_beta 90.00
_cell_angle_gamma 120.00
loop_
_atom_site_label
_atom_site_fract_x
_atom_site_fract_y
_atom_site_fract_z
Ca1 0.3333 0.6667 0.2500
La1 0.0000 0.0000 0.0000
La2 0.3333 0.6667 0.7500
# relative energy among the computed polymorphs	104.1	meV per atom
# electronic total energy	-31.8280	eV/atom
# crystal system	hexagonal
# ΔE_f	0.130	eV per atom

***

[4]
# CaLa, single point on PBEsol structure, DFT meta-GGA SCAN
data_CaLa
_symmetry_space_group_name_H-M 'C 1 2/m 1'
_symmetry_Int_Tables_number 12
_cell_length_a 13.4377
_cell_length_b 3.6931
_cell_length_c 6.6248
_cell_angle_alpha 90.00
_cell_angle_beta 116.76
_cell_angle_gamma 90.00
loop_
_symmetry_equiv_pos_as_xyz
'x,y,z'
'-x,-y,-z'
'-x,y,-z'
'x,-y,z'
'x+1/2,y+1/2,z'
'-x+1/2,-y+1/2,-z'
'-x+1/2,y+1/2,-z'
'x+1/2,-y+1/2,z'
loop_
_atom_site_label
_atom_site_fract_x
_atom_site_fract_y
_atom_site_fract_z
Ca1 0.1209 0.0000 0.4517
La1 0.1377 0.5000 0.9687
# relative energy among the computed polymorphs	40.3	meV per atom
# electronic total energy	-26.3194	eV/atom
# crystal system	monoclinic
# ΔE_f	0.065	eV per atom

***

[5]
# Ca3La, single point on PBEsol structure, DFT meta-GGA SCAN
data_Ca3La
_symmetry_space_group_name_H-M 'C m m m'
_symmetry_Int_Tables_number 65
_symmetry_space_group_name_Hall '-C 2 2'
_cell_length_a 4.1048
_cell_length_b 6.0394
_cell_length_c 12.4379
_cell_angle_alpha 90.00
_cell_angle_beta 90.00
_cell_angle_gamma 90.00
loop_
_atom_site_label
_atom_site_fract_x
_atom_site_fract_y
_atom_site_fract_z
Ca1 0.0000 0.0000 0.0000
Ca2 0.0000 0.5000 0.2536
La1 0.0000 0.0000 0.5000
# relative energy among the computed polymorphs	26.6	meV per atom
# electronic total energy	-17.9676	eV/atom
# crystal system	orthorhombic
# ΔE_f	0.056	eV per atom

***

[6]
# Ca2La, single point on PBEsol structure, DFT meta-GGA SCAN
data_Ca2La
_symmetry_space_group_name_H-M 'P -3 m 1'
_symmetry_Int_Tables_number 164
_symmetry_space_group_name_Hall '-P 3 2"'
_cell_length_a 6.0309
_cell_length_b 6.0309
_cell_length_c 3.5957
_cell_angle_alpha 90.00
_cell_angle_beta 90.00
_cell_angle_gamma 120.00
loop_
_atom_site_label
_atom_site_fract_x
_atom_site_fract_y
_atom_site_fract_z
Ca1 0.3333 0.6667 0.1125
La1 0.0000 0.0000 0.5000
# relative energy among the computed polymorphs	35.3	meV per atom
# electronic total energy	-20.7266	eV/atom
# crystal system	trigonal
# ΔE_f	0.084	eV per atom

***

[7]
# CaLa, single point on PBEsol structure, DFT meta-GGA SCAN
data_CaLa
_symmetry_space_group_name_H-M 'P m m n'
_symmetry_Int_Tables_number 59
_cell_length_a 3.6961
_cell_length_b 5.9264
_cell_length_c 6.6647
_cell_angle_alpha 90.00
_cell_angle_beta 90.00
_cell_angle_gamma 90.00
loop_
_symmetry_equiv_pos_as_xyz
'x,y,z'
'-x,-y,-z'
'-x+1/2,-y+1/2,z'
'x+1/2,y+1/2,-z'
'x+1/2,-y,-z'
'-x+1/2,y,z'
'-x,y+1/2,-z'
'x,-y+1/2,z'
loop_
_atom_site_label
_atom_site_fract_x
_atom_site_fract_y
_atom_site_fract_z
Ca1 0.2500 0.2500 0.0883
La1 0.2500 0.7500 0.4256
# relative energy among the computed polymorphs	19.9	meV per atom
# electronic total energy	-26.3398	eV/atom
# crystal system	orthorhombic
# ΔE_f	0.044	eV per atom

***

[8]
# CaLa5, single point on PBEsol structure, DFT meta-GGA SCAN
data_CaLa5
_symmetry_space_group_name_H-M 'C 1 m 1'
_symmetry_Int_Tables_number 8
_cell_length_a 13.6948
_cell_length_b 3.6686
_cell_length_c 8.7370
_cell_angle_alpha 90.00
_cell_angle_beta 105.16
_cell_angle_gamma 90.00
loop_
_symmetry_equiv_pos_as_xyz
'x,y,z'
'x,-y,z'
'x+1/2,y+1/2,z'
'x+1/2,-y+1/2,z'
loop_
_atom_site_label
_atom_site_fract_x
_atom_site_fract_y
_atom_site_fract_z
Ca1 0.0000 0.0000 0.0000
La1 0.0495 0.0000 0.6014
La2 0.1712 0.5000 0.3441
La3 0.2264 0.5000 0.9474
La4 0.3215 0.0000 0.6657
La5 0.3832 0.0000 0.2842
# relative energy among the computed polymorphs	25.3	meV per atom
# electronic total energy	-37.4860	eV/atom
# crystal system	monoclinic
# ΔE_f	0.045	eV per atom